# CuNi3Br GGA-PBE optimized geometry
data_CuNi3Br
_cell_length_a 4.3211
_cell_length_b 4.3211
_cell_length_c 4.3211
_cell_angle_alpha 90.00
_cell_angle_beta 90.00
_cell_angle_gamma 90.00
_space_group_name_H-M_alt 'P 1'
_space_group_IT_number 1
_space_group_name_Hall 'P 1'
loop_
_atom_site_label
_atom_site_type_symbol
_atom_site_fract_x
_atom_site_fract_y
_atom_site_fract_z
Ni1 Ni 0.0000 0.0000 0.5000
Ni2 Ni 0.0000 0.5000 0.0000
Ni3 Ni 0.5000 0.0000 0.0000
Br1 Br 0.0000 0.0000 0.0000
Cu1 Cu 0.5000 0.5000 0.5000
# - Space group: No. 221
# - Energy above the most stable polymorph in this dataset: 0 meV per atom
# - Formation energy without anion corrections: 0.929 eV/atom

***

# MnRe4Ni GGA-PBE optimized geometry
data_MnRe4Ni
_cell_length_a 5.1165
_cell_length_b 5.1165
_cell_length_c 5.1165
_cell_angle_alpha 60.00
_cell_angle_beta 60.00
_cell_angle_gamma 60.00
_space_group_name_H-M_alt 'P 1'
_space_group_IT_number 1
_space_group_name_Hall 'P 1'
loop_
_atom_site_label
_atom_site_type_symbol
_atom_site_fract_x
_atom_site_fract_y
_atom_site_fract_z
Mn1 Mn 0.7500 0.7500 0.7500
Re1 Re 0.3747 0.3747 0.8759
Re2 Re 0.3747 0.8759 0.3747
Re3 Re 0.3747 0.3747 0.3747
Re4 Re 0.8759 0.3747 0.3747
Ni1 Ni 0.0000 0.0000 0.0000
# - Total energy: -10.245 eV/atom
# - Space group: No. 216

***

# Ca4LaS5 GGA-PBE optimized geometry
data_Ca4LaS5
_cell_length_a 4.0686
_cell_length_b 4.0686
_cell_length_c 14.6879
_cell_angle_alpha 97.96
_cell_angle_beta 97.96
_cell_angle_gamma 90.00
_space_group_name_H-M_alt 'P 1'
_space_group_IT_number 1
_space_group_name_Hall 'P 1'
loop_
_atom_site_label
_atom_site_type_symbol
_atom_site_fract_x
_atom_site_fract_y
_atom_site_fract_z
S1 S 0.1019 0.1019 0.2038
S2 S 0.7003 0.7003 0.4006
S3 S 0.5000 0.5000 0.0000
S4 S 0.2997 0.2997 0.5994
S5 S 0.8981 0.8981 0.7962
Ca1 Ca 0.6018 0.6018 0.2037
Ca2 Ca 0.3982 0.3982 0.7963
Ca3 Ca 0.7992 0.7992 0.5983
Ca4 Ca 0.2008 0.2008 0.4017
La1 La 0.0000 0.0000 0.0000
# - Space group: No. 139
# - Formation energy without anion corrections: -2.134 eV/atom

***

Which formula does entry 1 have? CuNi3Br